VASP calculation (PBE-GGA) on a geometry-optimized TaNb4W3 structure.

Lattice parameters (Å, degrees): 2.692 9.500 11.137 90.00 90.00 90.00
Space group Immm (No. 71)
Asymmetric unit:
Ta 0.000 0.000 0.000
Nb 0.000 0.257 0.127
W 0.000 0.000 0.500
W 0.000 0.500 0.257

Values from the calculation:
**E_form**: 0.316 eV per atom
**E**: -11.0584 eV per atom
**DOS(E_F)**: 0.8770 states/eV/atom
**Offset from the most stable computed form**: 367 meV per atom
**Magnetic moment**: 0.00 μB per formula unit